MgTl SCAN single point on PBEsol structure; energy = -38.749 eV per atom; formation energy = -0.083 eV per atom; Fermi-level density of states = 0.335 states/eV/atom
1.0
3.4788 0.0000 0.0000
0.0000 5.0835 0.0000
0.0000 0.0000 10.9979
Mg Tl
4 4
Direct
0.0000 0.2500 0.1262 Mg
0.0000 0.7500 0.8738 Mg
0.5000 0.2500 0.3738 Mg
0.5000 0.7500 0.6262 Mg
0.0000 0.2500 0.6204 Tl
0.0000 0.7500 0.3796 Tl
0.5000 0.2500 0.8796 Tl
0.5000 0.7500 0.1204 Tl